Computed, not measured: crystalline LiZn6Ir5 at its relaxed geometry at the PBE-GGA level of DFT.

```
LiZn6Ir5
1.0
-3.436 1.852 -1.746
1.623 -2.121 -5.446
-2.516 -5.213 4.659
Ir Li Zn
5 1 6
Direct
0.335 0.835 0.670
0.338 0.338 0.676
0.662 0.662 0.324
0.000 0.500 0.000
0.665 0.165 0.330
0.000 0.000 0.000
0.500 0.755 0.000
0.167 0.920 0.335
0.500 0.245 0.000
0.833 0.080 0.665
0.833 0.585 0.665
0.167 0.415 0.335
```

Crystal system: orthorhombic
SG: Immm

---

Computed, not measured: crystalline Ce2Zn3Au5 at its relaxed geometry at the PBE-GGA level of DFT.

```
Ce2Zn3Au5
1.0
4.486 0.000 -0.764
0.000 7.164 0.000
-0.147 0.000 12.686
Au Zn Ce
10 6 4
Direct
0.285 0.998 0.570
0.117 0.191 0.234
0.705 0.081 0.409
0.295 0.581 0.591
0.603 0.903 0.206
0.397 0.403 0.794
0.715 0.498 0.430
0.883 0.691 0.766
0.051 0.515 0.103
0.949 0.015 0.897
0.050 0.895 0.100
0.950 0.395 0.900
0.389 0.017 0.779
0.221 0.295 0.442
0.779 0.795 0.558
0.611 0.517 0.221
0.520 0.207 0.039
0.176 0.762 0.353
0.824 0.262 0.647
0.480 0.707 0.961
```

Crystal system: orthorhombic
SG: Cmc2_1

---

Computed, not measured: crystalline TbPuOsAu at its relaxed geometry at the PBE-GGA level of DFT.

```
TbPuOsAu
1.0
4.960 0.000 0.000
2.480 4.295 0.000
2.480 1.432 4.050
Os Pu Tb Au
1 1 1 1
Direct
0.500 0.500 0.500
0.750 0.750 0.750
0.250 0.250 0.250
0.000 0.000 0.000
```

Crystal system: cubic
SG: F-43m

---

Computed, not measured: crystalline NdSm2Al at its relaxed geometry at the PBE-GGA level of DFT.

```
NdSm2Al
1.0
-1.370 -0.927 -3.283
-0.288 -3.543 -0.936
-10.350 -1.795 2.769
Sm Al Nd
2 1 1
Direct
0.071 0.071 0.786
0.262 0.262 0.213
0.666 0.666 0.001
0.500 0.500 0.500
```

Crystal system: trigonal
SG: R3m

---

Number 1: final energy -4.689 eV/atom, ΔE_f -2.4 eV per formula unit. Number 2: final energy -3.688 eV/atom, ΔE_f -4.8 eV per formula unit. Number 3: final energy -8.611 eV/atom, ΔE_f -1.0 eV per formula unit. Number 4: final energy -4.533 eV/atom, ΔE_f -0.2 eV per formula unit.